[1]
Li2VSi2O7 PBEsol relaxed; E_tot = -7.656 eV/atom; formation energy without anion corrections = -2.506 eV/atom; space group = P-1, No. 2
1.0
5.1450 0.0000 0.0000
0.4564 5.9269 0.0000
0.5480 2.7191 8.1006
Li V Si O
4 2 4 14
Cartesian
1.1449 1.9300 0.1570
2.0972 4.3464 5.2642
4.0522 4.2996 2.8364
5.0044 6.7159 7.9436
2.0760 7.5803 6.2935
4.0734 1.0657 1.8071
1.4166 2.7118 3.0255
2.0054 4.9916 1.2338
4.1439 3.6544 6.8667
4.7328 5.9342 5.0751
1.1119 6.0024 5.6381
0.9840 6.2561 1.3233
1.4845 3.9864 0.0532
1.5935 2.5541 4.6149
1.9496 4.2664 2.7482
2.5444 3.3285 6.9880
2.4573 1.8257 2.1277
3.6921 6.8203 5.9729
3.6050 5.3175 1.1126
4.1998 4.3796 5.3524
4.5558 6.0919 3.4857
4.6649 4.6596 8.0474
5.1654 2.3898 6.7773
5.0374 2.6436 2.4625

---

[2]
Li3VSiO5 PBEsol relaxed; E_tot = -7.109 eV/atom; formation energy without anion corrections = -2.357 eV/atom; space group = Pna2_1, No. 33
1.0
5.4404 0.0000 0.0000
0.0000 15.6504 0.0000
0.0000 0.0000 4.8187
Li V Si O
12 4 4 20
Cartesian
0.8796 1.4277 0.0000
0.8969 7.9266 0.0238
0.9788 10.8860 0.0358
1.7414 3.0608 2.4451
1.8233 0.1014 2.4331
1.8407 9.2529 2.4094
3.5998 6.3975 0.0000
3.6172 15.5491 0.0238
3.6990 12.5896 0.0358
4.4616 4.7644 2.4451
4.5435 7.7239 2.4331
4.5609 14.2227 2.4094
0.9135 4.7077 0.0240
1.8067 12.5329 2.4334
3.6337 3.1175 0.0240
4.5270 10.9428 2.4334
0.9118 14.1329 0.0188
1.8085 6.3077 2.4281
3.6320 9.3427 0.0188
4.5287 1.5175 2.4281
0.6342 1.5987 2.9049
0.8930 11.0018 2.8391
0.9626 14.0638 3.1601
0.9821 4.9048 2.8902
0.9909 7.6118 2.9177
1.7293 15.4371 0.5084
1.7381 12.7300 0.4808
1.7576 6.2386 0.7507
1.8272 3.1766 0.4297
2.0860 9.4239 0.4955
3.3544 6.2265 2.9049
3.6132 12.4738 2.8391
3.6828 9.4118 3.1601
3.7023 2.9204 2.8902
3.7111 0.2134 2.9177
4.4495 8.0386 0.5084
4.4583 10.7456 0.4808
4.4778 1.5866 0.7507
4.5474 4.6486 0.4297
4.8062 14.0517 0.4955

---

[3]
LiVSiO4 PBEsol relaxed; E_tot = -7.876 eV/atom; formation energy without anion corrections = -2.399 eV/atom; space group = Pnma, No. 62; energy above the most stable polymorph in this dataset = 0.066 eV/atom
1.0
10.1395 0.0000 0.0000
0.0000 5.9147 0.0000
0.0000 0.0000 4.7417
Li V Si O
4 4 4 16
Cartesian
2.2084 1.4787 0.0973
2.8614 4.4361 2.4681
7.2781 1.4787 2.2736
7.9311 4.4361 4.6444
0.0000 0.0000 2.3708
0.0000 2.9574 2.3708
5.0698 0.0000 0.0000
5.0698 2.9574 0.0000
0.9282 4.4361 0.3785
4.1416 1.4787 2.7493
5.9979 4.4361 1.9923
9.2114 1.4787 4.3632
0.5977 1.4787 3.6173
0.8513 4.4361 3.4773
1.5315 3.0873 1.0731
1.5315 5.7848 1.0731
3.5383 0.1299 3.4439
3.5383 2.8275 3.4439
4.2185 1.4787 1.1064
4.4721 4.4361 1.2465
5.6674 1.4787 3.4952
5.9211 4.4361 3.6352
6.6012 3.0873 1.2977
6.6012 5.7848 1.2977
8.6080 0.1299 3.6686
8.6080 2.8275 3.6686
9.2882 1.4787 1.2644
9.5418 4.4361 1.1244

---

[4]
Li7V3Si2O12 PBEsol relaxed; E_tot = -7.307 eV/atom; formation energy without anion corrections = -2.426 eV/atom; space group = C2/m, No. 12
1.0
2.3689 -4.1454 0.0000
2.3689 4.1454 0.0000
-1.5939 0.0000 9.6473
Li V Si O
7 3 2 12
Cartesian
0.0000 0.0000 0.0000
0.7821 1.3678 2.3520
-0.0533 0.0000 7.3454
0.7821 -1.3678 2.3520
2.3617 1.3678 7.2953
3.1970 0.0000 2.3019
2.3617 -1.3678 7.2953
1.5719 2.9637 4.8237
1.5719 0.0000 4.8237
1.5719 -2.9637 4.8237
2.3689 1.3804 0.0000
2.3689 -1.3804 0.0000
1.4943 2.6153 0.9977
0.0018 0.0000 3.5072
0.7803 1.4040 5.9550
1.6495 2.6153 8.6496
1.7438 0.0000 0.9962
2.3634 1.4040 3.6924
0.7803 -1.4040 5.9550
1.3999 0.0000 8.6511
1.4943 -2.6153 0.9977
2.3634 -1.4040 3.6924
3.1420 0.0000 6.1401
1.6495 -2.6153 8.6496

---

[5]
LiVSiO5 PBEsol relaxed; E_tot = -7.905 eV/atom; formation energy without anion corrections = -2.455 eV/atom; space group = Cmme, No. 67; energy above the most stable polymorph in this dataset = 0.022 eV/atom
1.0
4.4111 -4.4304 0.0000
4.4111 4.4304 0.0000
0.0000 0.0000 4.5302
Li V Si O
2 2 2 10
Cartesian
2.2056 2.2152 0.0000
2.2056 -2.2152 0.0000
4.4111 2.2152 2.7403
4.4111 -2.2152 1.7900
2.2056 0.0000 2.2651
6.6167 0.0000 2.2651
1.2948 0.9590 1.2997
3.1163 0.9590 3.2306
4.4111 2.2152 1.1345
1.2948 -0.9590 3.2306
3.1163 -0.9590 1.2997
5.7059 0.9590 3.2306
7.5274 0.9590 1.2997
4.4111 -2.2152 3.3958
5.7059 -0.9590 1.2997
7.5274 -0.9590 3.2306

---

[6]
Li2VSi6O15 PBEsol relaxed; E_tot = -7.916 eV/atom; formation energy without anion corrections = -2.633 eV/atom; space group = Imma, No. 74; energy above the most stable polymorph in this dataset = 0.028 eV/atom
1.0
-3.9172 7.3351 4.9332
3.9172 -7.3351 4.9332
3.9172 7.3351 -4.9332
Li V Si O
4 2 12 30
Cartesian
1.9586 7.4025 -2.4666
1.9586 0.0675 2.4666
-1.9586 7.2676 2.4666
1.9586 7.2676 2.4666
0.0000 0.0000 0.0000
0.0000 7.3351 0.0000
2.4334 2.1442 -0.3645
5.4010 2.1442 -0.3645
2.4334 5.1908 -0.3645
1.4838 -2.1442 4.5688
3.9172 2.1895 2.2564
0.0000 2.1895 2.6768
3.9172 5.1456 2.2564
0.0000 5.1456 2.6768
2.4334 9.4793 0.3645
1.4838 2.1442 5.2977
-1.4838 5.1908 5.2977
1.4838 5.1908 5.2977
1.3842 -1.0371 0.8771
6.4502 -1.0371 0.8771
3.9172 1.8562 -1.0185
1.9718 3.6675 -0.7138
5.8626 3.6675 -0.7138
0.0000 1.0003 1.6165
2.6152 2.0017 1.2694
5.2192 2.0017 1.2694
3.9172 5.4789 -1.0185
1.3842 6.2979 -0.8771
2.5330 -1.0371 4.0561
3.9172 1.0003 3.3168
0.0000 3.6675 2.0065
2.6152 5.3334 1.2694
1.3020 -2.0017 6.2026
2.6152 9.3367 -1.2694
1.3020 2.0017 3.6639
3.9172 3.6675 2.9268
0.0000 6.3347 1.6165
1.3842 8.3722 0.8771
2.5330 1.0371 5.8103
0.0000 1.8562 5.9518
-1.3020 5.3334 3.6639
1.3020 5.3334 3.6639
3.9172 6.3347 3.3168
-1.9454 3.6675 5.6470
1.9454 3.6675 5.6470
0.0000 5.4789 5.9518
-2.5330 8.3722 4.0561
2.5330 8.3722 4.0561